First-principles (PBE) data for an optimized crystal structure of Li4Ho3ErS8, as listed in Alexandria.

Calculated values
* density of states at the Fermi level: 0.00 states/eV per cell
* formation energy without anion corrections: -1856 meV/atom
* raw total energy: -5.54 eV/atom

abc: 7.6314 7.6314 7.6314
angles: 61.29 61.29 61.29
With the nearest neighbours (Å) after each atom.
Fractional positions:
Li 0.0000 0.0000 0.0000  6 S 2.73
Li 0.0000 0.5000 0.5000  6 S 2.72-2.73
Li 0.5000 0.0000 0.5000  6 S 2.72-2.73
Li 0.5000 0.5000 0.0000  6 S 2.72-2.73
Ho 0.0000 0.0000 0.5000  6 S 2.72
Ho 0.0000 0.5000 0.0000  6 S 2.72
Ho 0.5000 0.0000 0.0000  6 S 2.72
Er 0.5000 0.5000 0.5000  6 S 2.72
S 0.2499 0.2499 0.2499  3 Ho 2.72, 3 Li 2.73
S 0.2508 0.2508 0.7492  1 Er 2.72, 3 Li 2.72-2.73, 2 Ho 2.72
S 0.2508 0.7492 0.2508  1 Er 2.72, 3 Li 2.72-2.73, 2 Ho 2.72
S 0.2508 0.7492 0.7492  1 Er 2.72, 3 Li 2.72-2.73, 2 Ho 2.72
S 0.7492 0.2508 0.2508  1 Er 2.72, 3 Li 2.72-2.73, 2 Ho 2.72
S 0.7492 0.2508 0.7492  1 Er 2.72, 3 Li 2.72-2.73, 2 Ho 2.72
S 0.7492 0.7492 0.2508  1 Er 2.72, 3 Li 2.72-2.73, 2 Ho 2.72
S 0.7501 0.7501 0.7501  3 Ho 2.72, 3 Li 2.73

First-principles (PBE) data for an optimized crystal structure of KTeS4, as listed in Alexandria.

Calculated values
* density of states at the Fermi level: 3.87 states/eV per cell
* formation energy without anion corrections: 122 meV/atom
* excess energy over the best structure of this formula in the dataset: 305 meV per atom
* raw total energy: -3.34 eV/atom

abc: 4.2186 4.2186 8.5626
angles: 90.00 90.00 90.00
With the nearest neighbours (Å) after each atom.
Fractional positions:
K 0.0000 0.0000 0.0000  8 S 3.26
Te 0.5000 0.5000 0.5000  8 S 2.77
S 0.0000 0.5000 0.2901  2 Te 2.77, 4 S 2.98
S 0.0000 0.5000 0.7099  2 Te 2.77, 4 S 2.98
S 0.5000 0.0000 0.2901  2 Te 2.77, 4 S 2.98
S 0.5000 0.0000 0.7099  2 Te 2.77, 4 S 2.98

First-principles (PBE) data for an optimized crystal structure of SbTe2C, as listed in Alexandria.

Calculated values
* density of states at the Fermi level: 2.31 states/eV per cell
* formation energy without anion corrections: 1103 meV/atom
* excess energy over the best structure of this formula in the dataset: 81 meV per atom
* raw total energy: -3.80 eV/atom

abc: 8.3136 8.3136 8.3136
angles: 30.75 30.75 30.75
With the nearest neighbours (Å) after each atom.
Fractional positions:
Sb 0.0000 0.0000 0.0000  6 Te 3.23
Te 0.4171 0.4171 0.4171  1 C 1.97
Te 0.5829 0.5829 0.5829  1 C 1.97
C 0.5000 0.5000 0.5000  2 Te 1.97

First-principles (PBE) data for an optimized crystal structure of CsSrSb, as listed in Alexandria.

Calculated values
* density of states at the Fermi level: 3.64 states/eV per cell
* formation energy without anion corrections: -518 meV/atom
* raw total energy: -2.74 eV/atom

abc: 5.7504 5.7504 9.1101
angles: 90.00 90.00 90.00
With the nearest neighbours (Å) after each atom.
Fractional positions:
Cs 0.0000 0.5000 0.0000  4 Sb 3.90, 4 Cs 4.07
Cs 0.5000 0.0000 0.0000  4 Sb 3.90, 4 Cs 4.07
Sr 0.0000 0.5000 0.5000  4 Sb 3.46
Sr 0.5000 0.0000 0.5000  4 Sb 3.46
Sb 0.0000 0.0000 0.2887  4 Sr 3.46, 1 Sb 3.85
Sb 0.0000 0.0000 0.7113  4 Sr 3.46, 1 Sb 3.85

First-principles (PBE) data for an optimized crystal structure of NpH8Pt2Rh, as listed in Alexandria.

Calculated values
* density of states at the Fermi level: 9.34 states/eV per cell
* raw total energy: -4.95 eV/atom

abc: 4.9898 4.9898 5.6735
angles: 90.00 90.00 120.00
With the nearest neighbours (Å) after each atom.
Fractional positions:
Np 0.0000 0.0000 0.0000  6 H 2.47
H 0.1752 0.3504 0.3446  1 Rh 1.75, 1 Pt 1.81
H 0.1752 0.8248 0.3446  1 Rh 1.75, 1 Pt 1.81
H 0.3333 0.6667 0.8484  1 Pt 1.62
H 0.3504 0.1752 0.6554  1 Rh 1.75, 1 Pt 1.81
H 0.6496 0.8248 0.3446  1 Rh 1.75, 1 Pt 1.81
H 0.6667 0.3333 0.1516  1 Pt 1.62
H 0.8248 0.1752 0.6554  1 Rh 1.75, 1 Pt 1.81
H 0.8248 0.6496 0.6554  1 Rh 1.75, 1 Pt 1.81
Pt 0.3333 0.6667 0.1342  4 H 1.62-1.81
Pt 0.6667 0.3333 0.8658  4 H 1.62-1.81
Rh 0.0000 0.0000 0.5000  6 H 1.75

First-principles (PBE) data for an optimized crystal structure of KCa2AlPt, as listed in Alexandria.

Calculated values
* density of states at the Fermi level: 3.00 states/eV per cell
* raw total energy: -3.37 eV/atom

abc: 5.7130 5.7130 4.9348
angles: 90.00 90.00 90.00
With the nearest neighbours (Å) after each atom.
Fractional positions:
K 0.0000 0.0000 0.0000  8 Ca 3.77, 4 Al 4.04
Ca 0.0000 0.5000 0.5000  2 Pt 2.86
Ca 0.5000 0.0000 0.5000  2 Pt 2.86
Al 0.5000 0.5000 0.0000  2 Pt 2.47
Pt 0.5000 0.5000 0.5000  2 Al 2.47